The following is a PBE-GGA calculation of Cs4InGe3Br12 after structural relaxation, from Alexandria via LeMat-Bulk.

## Properties
Theoretical density, g/cm3: 4.22
V, Å³ per cell: 717
Space-group type: Im-3m
Energy relative to the elements, uncorrected, eV/atom: -1.120
DOS at the Fermi energy, states/eV per cell: 0.3

Lattice parameters (Å, degrees): 9.767 9.767 9.767 109.47 109.47 109.47
Sites, in units of the cell vectors:
Cs 0.000 0.000 0.500
Cs 0.000 0.500 0.000
Cs 0.500 0.000 0.000
Cs 0.500 0.500 0.500
In 0.000 0.000 0.000
Ge 0.000 0.500 0.500
Ge 0.500 0.000 0.500
Ge 0.500 0.500 0.000
Br 0.000 0.255 0.255
Br 0.000 0.745 0.745
Br 0.250 0.500 0.750
Br 0.250 0.750 0.500
Br 0.255 0.000 0.255
Br 0.255 0.255 0.000
Br 0.500 0.250 0.750
Br 0.500 0.750 0.250
Br 0.745 0.000 0.745
Br 0.745 0.745 0.000
Br 0.750 0.250 0.500
Br 0.750 0.500 0.250